[1]
HoNpIr4: optimized geometry, PBE.

```
HoNpIr4
1.0
-0.409 -3.073 4.356
-1.854 -4.997 -0.419
3.311 -4.144 0.668
Ir Ho Np
4 1 1
direct
0.625 0.625 0.125 Ir
0.625 0.625 0.625 Ir
0.625 0.125 0.625 Ir
0.125 0.625 0.625 Ir
0.000 0.000 0.000 Ho
0.250 0.250 0.250 Np
```

Results
SG	F-43m, No. 216
VASP energy	-9.4362	eV per atom

[2]
HoNpIrO6: optimized geometry, PBE.

```
HoNpIrO6
1.0
-5.357 -1.353 0.838
4.029 -3.695 1.157
0.485 3.031 7.991
O Ho Np Ir
12 2 2 2
direct
0.976 0.308 0.123 O
0.308 0.332 0.877 O
0.308 0.976 0.623 O
0.692 0.668 0.123 O
0.668 0.976 0.877 O
0.024 0.692 0.877 O
0.692 0.024 0.377 O
0.332 0.024 0.123 O
0.668 0.692 0.623 O
0.024 0.332 0.623 O
0.332 0.308 0.377 O
0.976 0.668 0.377 O
0.667 0.333 0.750 Ho
0.333 0.667 0.250 Ho
0.333 0.667 0.750 Np
0.667 0.333 0.250 Np
0.000 0.000 0.000 Ir
0.000 0.000 0.500 Ir
```

Results
ΔE_f (raw)	-2.210	eV/atom
SG	P-31c, No. 163
VASP energy	-8.4467	eV per atom

[3]
HoNpP2Ir5: optimized geometry, PBE.

```
HoNpP2Ir5
1.0
-1.038 2.831 2.638
-0.143 -2.758 2.903
10.653 1.812 2.245
P Np Ir Ho
2 1 5 1
direct
0.500 0.500 0.708 P
0.500 0.500 0.292 P
0.000 0.000 0.500 Np
0.500 0.500 0.500 Ir
0.500 0.000 0.195 Ir
0.000 0.500 0.805 Ir
0.500 0.000 0.805 Ir
0.000 0.500 0.195 Ir
0.000 0.000 0.000 Ho
```

Results
SG	P4/mmm, No. 123
VASP energy	-8.5418	eV per atom

[4]
Ho3IrO7: optimized geometry, PBE.

```
Ho3IrO7
1.0
6.440 0.078 0.000
-2.157 6.069 0.000
0.000 0.000 7.369
O Ir Ho
14 2 6
direct
0.919 0.673 0.025 O
0.685 0.938 0.533 O
0.938 0.685 0.467 O
0.637 0.363 0.250 O
0.327 0.081 0.475 O
0.062 0.315 0.967 O
0.315 0.062 0.033 O
0.074 0.926 0.750 O
0.673 0.919 0.975 O
0.081 0.327 0.525 O
0.363 0.637 0.750 O
0.369 0.631 0.250 O
0.926 0.074 0.250 O
0.631 0.369 0.750 O
0.001 0.001 0.500 Ir
0.999 0.999 0.000 Ir
0.466 0.000 0.754 Ho
0.000 0.466 0.246 Ho
0.000 0.534 0.746 Ho
0.534 0.000 0.254 Ho
0.473 0.473 0.500 Ho
0.527 0.527 0.000 Ho
```

Results
ΔE_f (raw)	-2.696	eV/atom
SG	C222_1, No. 20
VASP energy	-7.9048	eV per atom

[5]
HoIrO4: optimized geometry, PBE.

```
HoIrO4
1.0
-3.761 2.230 -3.042
1.829 -4.700 -5.708
-5.133 -4.151 3.303
O Ir Ho
16 4 4
direct
0.594 0.062 0.191 O
0.477 0.389 0.325 O
0.523 0.611 0.675 O
0.977 0.611 0.175 O
0.094 0.938 0.309 O
0.906 0.062 0.691 O
0.621 0.832 0.445 O
0.406 0.938 0.809 O
0.516 0.311 0.881 O
0.023 0.389 0.825 O
0.379 0.168 0.555 O
0.984 0.311 0.381 O
0.016 0.689 0.619 O
0.121 0.168 0.055 O
0.484 0.689 0.119 O
0.879 0.832 0.945 O
0.728 0.840 0.701 Ir
0.772 0.840 0.201 Ir
0.272 0.160 0.299 Ir
0.228 0.160 0.799 Ir
0.218 0.649 0.890 Ho
0.718 0.351 0.610 Ho
0.782 0.351 0.110 Ho
0.282 0.649 0.390 Ho
```

Results
energy above the most stable polymorph in this dataset	0	meV per atom
ΔE_f (raw)	-1.912	eV/atom
SG	P2_1/c, No. 14
VASP energy	-7.4574	eV per atom

[6]
Ho4Ir6O19: optimized geometry, PBE.

```
Ho4Ir6O19
1.0
7.343 0.000 -2.596
-3.671 6.359 -2.596
0.000 0.000 7.788
Ho O Ir
4 19 6
direct
0.000 0.710 0.000 Ho
0.710 0.000 0.000 Ho
0.290 0.290 0.290 Ho
0.000 0.000 0.710 Ho
0.306 0.698 0.042 O
0.302 0.608 0.344 O
0.326 0.326 0.000 O
0.042 0.306 0.698 O
0.736 0.392 0.694 O
0.000 0.326 0.326 O
0.656 0.264 0.958 O
0.392 0.694 0.736 O
0.674 0.674 0.000 O
0.264 0.958 0.656 O
0.698 0.042 0.306 O
0.674 0.000 0.674 O
0.000 0.674 0.674 O
0.344 0.302 0.608 O
0.326 0.000 0.326 O
0.694 0.736 0.392 O
0.958 0.656 0.264 O
0.000 0.000 0.000 O
0.608 0.344 0.302 O
0.156 0.656 0.500 Ir
0.656 0.500 0.156 Ir
0.344 0.500 0.844 Ir
0.500 0.844 0.344 Ir
0.844 0.344 0.500 Ir
0.500 0.156 0.656 Ir
```

Results
ΔE_f (raw)	-1.627	eV/atom
SG	I23, No. 197
VASP energy	-7.3402	eV per atom

[7]
Ho2Ir2O7: optimized geometry, PBE.

```
Ho2Ir2O7
1.0
-2.623 5.384 4.045
4.178 3.132 4.996
2.375 6.753 -0.992
O Ir Ho
14 4 4
direct
0.787 0.787 0.213 O
0.213 0.787 0.787 O
0.787 0.213 0.213 O
0.787 0.213 0.787 O
0.463 0.463 0.037 O
0.037 0.463 0.037 O
0.213 0.787 0.213 O
0.463 0.037 0.037 O
0.037 0.037 0.463 O
0.500 0.500 0.500 O
0.750 0.750 0.750 O
0.463 0.037 0.463 O
0.213 0.213 0.787 O
0.037 0.463 0.463 O
0.125 0.125 0.125 Ir
0.125 0.125 0.625 Ir
0.125 0.625 0.125 Ir
0.625 0.125 0.125 Ir
0.125 0.625 0.625 Ho
0.625 0.125 0.625 Ho
0.625 0.625 0.125 Ho
0.625 0.625 0.625 Ho
```

Results
ΔE_f (raw)	-2.081	eV/atom
SG	Fd-3m, No. 227
VASP energy	-7.6801	eV per atom

[8]
HoIrO: optimized geometry, PBE.

```
HoIrO
1.0
4.103 0.000 0.000
0.000 4.317 0.000
0.000 0.000 11.533
Ho O Ir
4 4 4
direct
0.250 0.965 0.146 Ho
0.750 0.035 0.854 Ho
0.750 0.465 0.354 Ho
0.250 0.535 0.646 Ho
0.250 0.854 0.798 O
0.750 0.146 0.202 O
0.750 0.354 0.702 O
0.250 0.646 0.298 O
0.250 0.926 0.452 Ir
0.750 0.074 0.548 Ir
0.750 0.426 0.048 Ir
0.250 0.574 0.952 Ir
```

Results
ΔE_f (raw)	-1.766	eV/atom
SG	Pnma, No. 62
VASP energy	-7.8983	eV per atom

[9]
Ho4Ir2O: optimized geometry, PBE.

```
Ho4Ir2O
1.0
4.498 0.000 0.000
0.000 4.498 0.000
-2.249 -2.249 7.339
Ir Ho O
2 4 1
direct
0.631 0.631 0.262 Ir
0.369 0.369 0.738 Ir
0.000 0.500 0.000 Ho
0.500 0.000 0.000 Ho
0.183 0.183 0.365 Ho
0.817 0.817 0.635 Ho
0.000 0.000 0.000 O
```

Results
ΔE_f (raw)	-1.313	eV/atom
SG	I4/mmm, No. 139
VASP energy	-7.1691	eV per atom

[10]
Ho3IrO6: optimized geometry, PBE.

```
Ho3IrO6
1.0
6.525 -0.140 -0.279
-0.285 6.520 -0.279
-0.137 -0.140 6.530
Ho O Ir
6 12 2
direct
0.920 0.742 0.432 Ho
0.432 0.920 0.742 Ho
0.080 0.258 0.568 Ho
0.568 0.080 0.258 Ho
0.258 0.568 0.080 Ho
0.742 0.432 0.920 Ho
0.412 0.193 0.544 O
0.084 0.933 0.693 O
0.307 0.916 0.067 O
0.693 0.084 0.933 O
0.067 0.307 0.916 O
0.456 0.588 0.807 O
0.933 0.693 0.084 O
0.544 0.412 0.193 O
0.588 0.807 0.456 O
0.807 0.456 0.588 O
0.193 0.544 0.412 O
0.916 0.067 0.307 O
0.500 0.500 0.500 Ir
0.000 0.000 0.000 Ir
```

Results
ΔE_f (raw)	-2.809	eV/atom
SG	R-3, No. 148
VASP energy	-8.0432	eV per atom

[11]
HoIr2O6: optimized geometry, PBE.

```
HoIr2O6
1.0
-0.434 -4.750 0.536
3.166 0.183 4.183
-5.186 0.542 0.607
O Ir Ho
6 2 1
direct
0.276 0.357 0.357 O
0.724 0.643 0.643 O
0.276 0.643 0.000 O
0.724 0.357 0.000 O
0.276 0.000 0.643 O
0.724 0.000 0.357 O
0.500 0.667 0.333 Ir
0.500 0.333 0.667 Ir
0.000 0.000 0.000 Ho
```

Results
ΔE_f (raw)	-1.472	eV/atom
SG	P-31m, No. 162
VASP energy	-7.2557	eV per atom

[12]
Ho5Ir2O12: optimized geometry, PBE.

```
Ho5Ir2O12
1.0
6.004 0.000 0.000
-3.002 5.881 -1.800
0.000 -0.003 7.183
O Ho Ir
12 5 2
direct
0.903 0.303 0.572 O
0.564 0.663 0.913 O
0.999 0.998 0.178 O
0.901 0.337 0.087 O
0.001 0.002 0.822 O
0.499 0.999 0.188 O
0.099 0.663 0.913 O
0.501 0.001 0.812 O
0.600 0.697 0.428 O
0.400 0.303 0.572 O
0.436 0.337 0.087 O
0.097 0.697 0.428 O
0.000 0.000 0.500 Ho
0.307 0.614 0.168 Ho
0.693 0.386 0.832 Ho
0.700 0.401 0.361 Ho
0.300 0.599 0.639 Ho
0.752 0.000 0.000 Ir
0.248 0.000 0.000 Ir
```

Results
ΔE_f (raw)	-2.634	eV/atom
SG	C2/m, No. 12
VASP energy	-7.9026	eV per atom

[13]
HoIrO4: optimized geometry, PBE.

```
HoIrO4
1.0
4.888 0.000 0.000
0.000 5.660 0.168
0.000 -2.087 5.483
O Ho Ir
8 2 2
direct
0.709 0.173 0.878 O
0.791 0.673 0.878 O
0.209 0.327 0.122 O
0.349 0.387 0.672 O
0.651 0.613 0.328 O
0.151 0.887 0.672 O
0.849 0.113 0.328 O
0.291 0.827 0.122 O
0.500 0.000 0.500 Ho
0.000 0.500 0.500 Ho
0.500 0.500 0.000 Ir
0.000 0.000 0.000 Ir
```

Results
energy above the most stable polymorph in this dataset	72	meV per atom
ΔE_f (raw)	-1.840	eV/atom
SG	P2_1/c, No. 14
VASP energy	-7.3854	eV per atom

[14]
HoIrPbO6: optimized geometry, PBE.

```
HoIrPbO6
1.0
5.574 0.000 0.000
-2.787 4.827 0.000
0.000 0.000 9.520
O Pb Ho Ir
12 2 2 2
direct
0.617 0.961 0.866 O
0.383 0.345 0.366 O
0.039 0.655 0.866 O
0.961 0.345 0.134 O
0.345 0.383 0.866 O
0.383 0.039 0.134 O
0.345 0.961 0.634 O
0.617 0.655 0.634 O
0.655 0.617 0.134 O
0.655 0.039 0.366 O
0.039 0.383 0.634 O
0.961 0.617 0.366 O
0.000 0.000 0.500 Pb
0.000 0.000 0.000 Pb
0.333 0.667 0.250 Ho
0.667 0.333 0.750 Ho
0.667 0.333 0.250 Ir
0.333 0.667 0.750 Ir
```

Results
ΔE_f (raw)	-1.490	eV/atom
SG	P-31c, No. 163
VASP energy	-6.7004	eV per atom

[15]
HoIrPb2O6: optimized geometry, PBE.

```
HoIrPb2O6
1.0
5.849 0.000 -0.032
0.000 5.860 0.000
0.006 0.000 8.264
Ho O Ir Pb
2 12 2 4
direct
0.500 0.000 0.000 Ho
0.000 0.500 0.500 Ho
0.803 0.771 0.960 O
0.197 0.229 0.040 O
0.766 0.797 0.543 O
0.923 0.516 0.234 O
0.423 0.984 0.734 O
0.266 0.703 0.043 O
0.734 0.297 0.957 O
0.234 0.203 0.457 O
0.697 0.271 0.540 O
0.577 0.016 0.266 O
0.303 0.729 0.460 O
0.077 0.484 0.766 O
0.000 0.500 0.000 Ir
0.500 0.000 0.500 Ir
0.491 0.472 0.252 Pb
0.509 0.528 0.748 Pb
0.991 0.028 0.752 Pb
0.009 0.972 0.248 Pb
```

Results
ΔE_f (raw)	-1.580	eV/atom
SG	P2_1/c, No. 14
VASP energy	-6.6403	eV per atom

[16]
Ho2IrPbO8: optimized geometry, PBE.

```
Ho2IrPbO8
1.0
4.987 -0.066 -0.003
-0.045 4.985 -0.005
0.004 0.007 6.814
O Ir Ho Pb
8 1 2 1
direct
0.692 0.692 0.500 O
0.308 0.308 0.500 O
0.273 0.272 0.000 O
0.183 0.817 0.216 O
0.817 0.183 0.784 O
0.817 0.183 0.216 O
0.183 0.817 0.784 O
0.727 0.728 0.000 O
0.000 0.000 0.000 Ir
0.500 0.500 0.249 Ho
0.500 0.500 0.751 Ho
0.000 0.000 0.500 Pb
```

Results
ΔE_f (raw)	-1.898	eV/atom
SG	Cmmm, No. 65
VASP energy	-7.0142	eV per atom

[17]
HoIrPb2O8: optimized geometry, PBE.

```
HoIrPb2O8
1.0
4.985 0.008 -0.003
0.044 4.975 -0.005
0.004 0.008 6.785
Pb O Ir Ho
2 8 1 1
direct
0.500 0.500 0.246 Pb
0.500 0.500 0.754 Pb
0.818 0.187 0.223 O
0.182 0.813 0.223 O
0.818 0.187 0.777 O
0.719 0.725 0.000 O
0.182 0.813 0.777 O
0.281 0.275 0.000 O
0.312 0.307 0.500 O
0.688 0.693 0.500 O
0.000 0.000 0.000 Ir
0.000 0.000 0.500 Ho
```

Results
ΔE_f (raw)	-1.329	eV/atom
SG	P2/m, No. 10
VASP energy	-6.3721	eV per atom

[18]
Pm2HoIrO8: optimized geometry, PBE.

```
Pm2HoIrO8
1.0
-3.728 -3.485 -0.598
2.211 -2.891 3.627
-3.747 3.183 4.822
O Pm Ho Ir
8 2 1 1
direct
0.697 0.698 0.500 O
0.823 0.179 0.211 O
0.177 0.821 0.789 O
0.303 0.302 0.500 O
0.177 0.822 0.211 O
0.737 0.739 0.000 O
0.263 0.261 0.000 O
0.823 0.178 0.789 O
0.500 0.500 0.750 Pm
0.500 0.500 0.250 Pm
0.000 0.000 0.500 Ho
0.000 0.000 0.000 Ir
```

Results
ΔE_f (raw)	-2.283	eV/atom
SG	P2/m, No. 10
VASP energy	-7.5005	eV per atom